Entry 1:
Density functional theory data (PBE) for an optimized crystal structure of YSiOF2.

Values from the calculation:
relative energy among the computed polymorphs: 381 meV/atom
formation energy from raw total energies: -1.73 eV per atom

CIF file:
```
data_YSiOF2
_cell_length_a 4.604
_cell_length_b 4.604
_cell_length_c 3.484
_cell_angle_alpha 90.00
_cell_angle_beta 90.00
_cell_angle_gamma 90.00
_space_group_name_H-M_alt 'P 1'
_space_group_IT_number 1
loop_
_space_group_symop_operation_xyz
'x,y,z'
loop_
_atom_site_label
_atom_site_fract_x
_atom_site_fract_y
_atom_site_fract_z
Y1 0.500 0.500 0.500
Si1 0.000 0.000 0.000
O1 0.000 0.000 0.500
F1 0.000 0.500 0.000
F2 0.500 0.000 0.000
```

=====

Entry 2:
Density functional theory data (PBE) for an optimized crystal structure of ZnSiO2F.

Values from the calculation:
formation energy from raw total energies: -1.53 eV per atom

CIF file:
```
data_ZnSiO2F
_cell_length_a 3.484
_cell_length_b 3.484
_cell_length_c 4.096
_cell_angle_alpha 90.00
_cell_angle_beta 90.00
_cell_angle_gamma 90.00
_space_group_name_H-M_alt 'P 1'
_space_group_IT_number 1
loop_
_space_group_symop_operation_xyz
'x,y,z'
loop_
_atom_site_label
_atom_site_fract_x
_atom_site_fract_y
_atom_site_fract_z
Zn1 0.500 0.500 0.500
Si1 0.000 0.000 0.000
O1 0.000 0.500 0.000
O2 0.500 0.000 0.000
F1 0.000 0.000 0.500
```

=====

Entry 3:
Density functional theory data (PBE) for an optimized crystal structure of ZnSiO2F.

Values from the calculation:
formation energy from raw total energies: -0.60 eV per atom

CIF file:
```
data_ZnSiO2F
_cell_length_a 3.875
_cell_length_b 3.875
_cell_length_c 3.966
_cell_angle_alpha 90.00
_cell_angle_beta 90.00
_cell_angle_gamma 90.00
_space_group_name_H-M_alt 'P 1'
_space_group_IT_number 1
loop_
_space_group_symop_operation_xyz
'x,y,z'
loop_
_atom_site_label
_atom_site_fract_x
_atom_site_fract_y
_atom_site_fract_z
Zn1 0.000 0.000 0.000
Si1 0.500 0.500 0.500
O1 0.000 0.500 0.000
O2 0.500 0.000 0.000
F1 0.000 0.000 0.500
```

=====

Entry 4:
Density functional theory data (PBE) for an optimized crystal structure of ZnSiOF2.

Values from the calculation:
relative energy among the computed polymorphs: 316 meV/atom
formation energy from raw total energies: -1.10 eV per atom

CIF file:
```
data_ZnSiOF2
_cell_length_a 3.926
_cell_length_b 3.926
_cell_length_c 4.123
_cell_angle_alpha 90.00
_cell_angle_beta 90.00
_cell_angle_gamma 90.00
_space_group_name_H-M_alt 'P 1'
_space_group_IT_number 1
loop_
_space_group_symop_operation_xyz
'x,y,z'
loop_
_atom_site_label
_atom_site_fract_x
_atom_site_fract_y
_atom_site_fract_z
Zn1 0.000 0.000 0.000
Si1 0.500 0.500 0.500
O1 0.000 0.000 0.500
F1 0.000 0.500 0.000
F2 0.500 0.000 0.000
```

=====

Entry 5:
Density functional theory data (PBE) for an optimized crystal structure of ZnSiOF2.

Values from the calculation:
relative energy among the computed polymorphs: 0 meV/atom
formation energy from raw total energies: -1.41 eV per atom

CIF file:
```
data_ZnSiOF2
_cell_length_a 4.237
_cell_length_b 4.237
_cell_length_c 3.359
_cell_angle_alpha 90.00
_cell_angle_beta 90.00
_cell_angle_gamma 90.00
_space_group_name_H-M_alt 'P 1'
_space_group_IT_number 1
loop_
_space_group_symop_operation_xyz
'x,y,z'
loop_
_atom_site_label
_atom_site_fract_x
_atom_site_fract_y
_atom_site_fract_z
Zn1 0.500 0.500 0.500
Si1 0.000 0.000 0.000
O1 0.000 0.000 0.500
F1 0.000 0.500 0.000
F2 0.500 0.000 0.000
```

=====

Entry 6:
Density functional theory data (PBE) for an optimized crystal structure of ZrSiOF2.

Values from the calculation:
relative energy among the computed polymorphs: 0 meV/atom
formation energy from raw total energies: -1.82 eV per atom

CIF file:
```
data_ZrSiOF2
_cell_length_a 4.358
_cell_length_b 4.358
_cell_length_c 4.092
_cell_angle_alpha 90.00
_cell_angle_beta 90.00
_cell_angle_gamma 90.00
_space_group_name_H-M_alt 'P 1'
_space_group_IT_number 1
loop_
_space_group_symop_operation_xyz
'x,y,z'
loop_
_atom_site_label
_atom_site_fract_x
_atom_site_fract_y
_atom_site_fract_z
Si1 0.500 0.500 0.500
O1 0.000 0.000 0.500
Zr1 0.000 0.000 0.000
F1 0.000 0.500 0.000
F2 0.500 0.000 0.000
```

=====

Calculated values (states/eV/atom) of N(E_F) for the records, taken in order: 0.24, 0.31, 0.70, 0.00, 0.34, 0.75.